## K2Br3N2 (PBE-GGA)

Data for a relaxed structure of K2Br3N2.

The space group is P-1 (No. 2) and the conventional cell measures 5.0305, 5.3592 and 8.5534 Å, with angles of 84.70, 81.52 and 67.20 degrees. The asymmetric unit holds K at (0.1897, 0.2342, 0.2674), Br at (0.2501, 0.7491, 0.0033), Br at (0.5000, 0.5000, 0.5000) and N at (0.1571, 0.1365, 0.6444).

The calculation puts the density of states at the Fermi level at 2.09 states/eV/f.u. For the formation energy from raw total energies, the calculation gives 498 meV/atom. As for the size of the total moment: 6.0 μB per cell.

---

## KBrN2 (PBE-GGA)

Data for a relaxed structure of KBrN2.

The space group is R-3m (No. 166, hexagonal axes) and the conventional cell measures 4.3272, 4.3272 and 19.7782 Å, with angles of 90.00, 90.00 and 120.00 degrees. The asymmetric unit holds K at (0.0000, 0.0000, 0.0000), Br at (0.0000, 0.0000, 0.5000) and N at (0.0000, 0.0000, 0.4082).

The calculation puts the density of states at the Fermi level at 6.95 states/eV/f.u. For the formation energy from raw total energies, the calculation gives 1469 meV/atom. As for the size of the total moment: 5.8 μB per cell. Its relative energy among the computed polymorphs is 2281 meV per atom.

---

## K7BrN12 (PBE-GGA)

Data for a relaxed structure of K7BrN12.

The space group is R-3 (No. 148, hexagonal axes) and the conventional cell measures 13.3433, 13.3433 and 10.7538 Å, with angles of 90.00, 90.00 and 120.00 degrees. The asymmetric unit holds K at (0.0000, 0.0000, 0.0000), K at (0.0214, 0.2330, 0.6286), Br at (0.0000, 0.0000, 0.5000), N at (0.0171, 0.2229, 0.3494) and N at (0.1022, 0.8847, 0.1418).

For the formation energy from raw total energies, the calculation gives 2120 meV/atom. As for the size of the total moment: 90.1 μB per cell.

---

## KPtBr3N (PBE-GGA)

Data for a relaxed structure of KPtBr3N.

The space group is Cmcm (No. 63) and the conventional cell measures 4.4900, 17.2958 and 10.1887 Å, with angles of 90.00, 90.00 and 90.00 degrees. The asymmetric unit holds K at (0.0000, 0.0000, 0.0000), Pt at (0.0000, 0.3320, 0.2500), Br at (0.0000, 0.3453, 0.0084), Br at (0.0000, 0.4847, 0.2500) and N at (0.0000, 0.2305, 0.2500).

The calculation puts the density of states at the Fermi level at 4.49 states/eV/f.u. For the formation energy from raw total energies, the calculation gives -108 meV/atom. As for the size of the total moment: 4.0 μB per cell.

---

## KRb2Br6N (PBE-GGA)

Data for a relaxed structure of KRb2Br6N.

The space group is Fm-3m (No. 225) and the conventional cell measures 11.0684, 11.0684 and 11.0684 Å, with angles of 90.00, 90.00 and 90.00 degrees. The asymmetric unit holds K at (0.0000, 0.0000, 0.0000), Rb at (0.2500, 0.2500, 0.2500), Br at (0.0000, 0.0000, 0.2829) and N at (0.0000, 0.0000, 0.5000).

The calculation puts the density of states at the Fermi level at 0.00 states/eV/f.u. For the formation energy from raw total energies, the calculation gives -529 meV/atom. As for the size of the total moment: 0.0 μB per cell.

---

## KRh2BrN (PBE-GGA)

Data for a relaxed structure of KRh2BrN.

The space group is P4/mmm (No. 123) and the conventional cell measures 3.9911, 3.9911 and 7.7137 Å, with angles of 90.00, 90.00 and 90.00 degrees. The asymmetric unit holds K at (0.0000, 0.0000, 0.0000), Rh at (0.0000, 0.5000, 0.5000), Br at (0.5000, 0.5000, 0.0000) and N at (0.5000, 0.5000, 0.5000).

The calculation puts the density of states at the Fermi level at 6.98 states/eV/f.u. For the formation energy from raw total energies, the calculation gives 93 meV/atom. As for the size of the total moment: 0.8 μB per cell.

---

## KS2BrN (PBE-GGA)

Data for a relaxed structure of KS2BrN.

The space group is P4/mmm (No. 123) and the conventional cell measures 6.1604, 6.1604 and 5.4831 Å, with angles of 90.00, 90.00 and 90.00 degrees. The asymmetric unit holds K at (0.0000, 0.0000, 0.0000), S at (0.0000, 0.5000, 0.0000), Br at (0.5000, 0.5000, 0.5000) and N at (0.0000, 0.0000, 0.5000).

The calculation puts the density of states at the Fermi level at 2.42 states/eV/f.u. For the formation energy from raw total energies, the calculation gives 1586 meV/atom. As for the size of the total moment: 7.0 μB per cell.

---

## KSbBrN2 (PBE-GGA)

Data for a relaxed structure of KSbBrN2.

The space group is P4/mmm (No. 123) and the conventional cell measures 5.1650, 5.1650 and 6.1268 Å, with angles of 90.00, 90.00 and 90.00 degrees. The asymmetric unit holds K at (0.0000, 0.0000, 0.0000), Sb at (0.5000, 0.5000, 0.5000), Br at (0.0000, 0.0000, 0.5000) and N at (0.0000, 0.5000, 0.0000).

The calculation puts the density of states at the Fermi level at 3.85 states/eV/f.u. For the formation energy from raw total energies, the calculation gives 1881 meV/atom. As for the size of the total moment: 3.0 μB per cell.

---

## KSeBrN2 (PBE-GGA)

Data for a relaxed structure of KSeBrN2.

The space group is P4/mmm (No. 123) and the conventional cell measures 4.5311, 4.5311 and 5.4941 Å, with angles of 90.00, 90.00 and 90.00 degrees. The asymmetric unit holds K at (0.0000, 0.0000, 0.0000), Se at (0.5000, 0.5000, 0.0000), Br at (0.5000, 0.5000, 0.5000) and N at (0.0000, 0.5000, 0.5000).

The calculation puts the density of states at the Fermi level at 2.31 states/eV/f.u. For the formation energy from raw total energies, the calculation gives 1600 meV/atom. As for the size of the total moment: 3.5 μB per cell. Its relative energy among the computed polymorphs is 0 meV per atom.

---

## KSeBr2N (PBE-GGA)

Data for a relaxed structure of KSeBr2N.

The space group is P4/mmm (No. 123) and the conventional cell measures 6.3281, 6.3281 and 6.7637 Å, with angles of 90.00, 90.00 and 90.00 degrees. The asymmetric unit holds K at (0.0000, 0.0000, 0.0000), Se at (0.0000, 0.0000, 0.5000), Br at (0.0000, 0.5000, 0.0000) and N at (0.5000, 0.5000, 0.5000).

The calculation puts the density of states at the Fermi level at 6.14 states/eV/f.u. For the formation energy from raw total energies, the calculation gives 1077 meV/atom. As for the size of the total moment: 6.0 μB per cell. Its relative energy among the computed polymorphs is 903 meV per atom.

---

## KSeBr2N (PBE-GGA)

Data for a relaxed structure of KSeBr2N.

The space group is P4/mmm (No. 123) and the conventional cell measures 6.0078, 6.0078 and 3.8095 Å, with angles of 90.00, 90.00 and 90.00 degrees. The asymmetric unit holds K at (0.0000, 0.0000, 0.0000), Se at (0.5000, 0.5000, 0.0000), Br at (0.0000, 0.5000, 0.5000) and N at (0.5000, 0.5000, 0.5000).

The calculation puts the density of states at the Fermi level at 3.23 states/eV/f.u. For the formation energy from raw total energies, the calculation gives 174 meV/atom. As for the size of the total moment: 0.0 μB per cell. Its relative energy among the computed polymorphs is 0 meV per atom.

---

## KSeBrN2 (PBE-GGA)

Data for a relaxed structure of KSeBrN2.

The space group is P4/mmm (No. 123) and the conventional cell measures 5.0845, 5.0845 and 6.4778 Å, with angles of 90.00, 90.00 and 90.00 degrees. The asymmetric unit holds K at (0.0000, 0.0000, 0.0000), Se at (0.0000, 0.0000, 0.5000), Br at (0.5000, 0.5000, 0.5000) and N at (0.0000, 0.5000, 0.0000).

The calculation puts the density of states at the Fermi level at 3.85 states/eV/f.u. For the formation energy from raw total energies, the calculation gives 2025 meV/atom. As for the size of the total moment: 6.2 μB per cell. Its relative energy among the computed polymorphs is 425 meV per atom.

---

## K2TcBrN (PBE-GGA)

Data for a relaxed structure of K2TcBrN.

The space group is P4/mmm (No. 123) and the conventional cell measures 6.2574, 6.2574 and 4.3992 Å, with angles of 90.00, 90.00 and 90.00 degrees. The asymmetric unit holds K at (0.0000, 0.5000, 0.0000), Tc at (0.0000, 0.0000, 0.5000), Br at (0.5000, 0.5000, 0.0000) and N at (0.5000, 0.5000, 0.5000).

The calculation puts the density of states at the Fermi level at 7.95 states/eV/f.u. For the formation energy from raw total energies, the calculation gives 1439 meV/atom. As for the size of the total moment: 5.2 μB per cell.

---

## KTeBrN2 (PBE-GGA)

Data for a relaxed structure of KTeBrN2.

The space group is P4/mmm (No. 123) and the conventional cell measures 4.9968, 4.9968 and 7.1466 Å, with angles of 90.00, 90.00 and 90.00 degrees. The asymmetric unit holds K at (0.0000, 0.0000, 0.0000), Te at (0.0000, 0.0000, 0.5000), Br at (0.5000, 0.5000, 0.5000) and N at (0.0000, 0.5000, 0.0000).

The calculation puts the density of states at the Fermi level at 3.63 states/eV/f.u. For the formation energy from raw total energies, the calculation gives 1909 meV/atom. As for the size of the total moment: 5.6 μB per cell. Its relative energy among the computed polymorphs is 217 meV per atom.

---

## KTe2BrN (PBE-GGA)

Data for a relaxed structure of KTe2BrN.

The space group is P4/mmm (No. 123) and the conventional cell measures 6.5945, 6.5945 and 3.5998 Å, with angles of 90.00, 90.00 and 90.00 degrees. The asymmetric unit holds K at (0.0000, 0.0000, 0.0000), Te at (0.0000, 0.5000, 0.5000), Br at (0.5000, 0.5000, 0.5000) and N at (0.5000, 0.5000, 0.0000).

The calculation puts the density of states at the Fermi level at 1.28 states/eV/f.u. For the formation energy from raw total energies, the calculation gives 797 meV/atom. As for the size of the total moment: 0.0 μB per cell. Its relative energy among the computed polymorphs is 0 meV per atom.

---

## KTe2BrN (PBE-GGA)

Data for a relaxed structure of KTe2BrN.

The space group is P4/mmm (No. 123) and the conventional cell measures 6.4989, 6.4989 and 4.6326 Å, with angles of 90.00, 90.00 and 90.00 degrees. The asymmetric unit holds K at (0.0000, 0.0000, 0.0000), Te at (0.0000, 0.5000, 0.0000), Br at (0.5000, 0.5000, 0.5000) and N at (0.0000, 0.0000, 0.5000).

The calculation puts the density of states at the Fermi level at 10.61 states/eV/f.u. For the formation energy from raw total energies, the calculation gives 1674 meV/atom. As for the size of the total moment: 4.2 μB per cell. Its relative energy among the computed polymorphs is 878 meV per atom.

---

## KTeBrN2 (PBE-GGA)

Data for a relaxed structure of KTeBrN2.

The space group is P4/mmm (No. 123) and the conventional cell measures 4.6505, 4.6505 and 5.8998 Å, with angles of 90.00, 90.00 and 90.00 degrees. The asymmetric unit holds K at (0.0000, 0.0000, 0.0000), Te at (0.5000, 0.5000, 0.0000), Br at (0.5000, 0.5000, 0.5000) and N at (0.0000, 0.5000, 0.5000).

The calculation puts the density of states at the Fermi level at 2.41 states/eV/f.u. For the formation energy from raw total energies, the calculation gives 1693 meV/atom. As for the size of the total moment: 3.5 μB per cell. Its relative energy among the computed polymorphs is 0 meV per atom.

---

## KTe2BrN (PBE-GGA)

Data for a relaxed structure of KTe2BrN.

The space group is P4/mmm (No. 123) and the conventional cell measures 6.9372, 6.9372 and 6.1615 Å, with angles of 90.00, 90.00 and 90.00 degrees. The asymmetric unit holds K at (0.0000, 0.0000, 0.0000), Te at (0.0000, 0.5000, 0.0000), Br at (0.0000, 0.0000, 0.5000) and N at (0.5000, 0.5000, 0.5000).

The calculation puts the density of states at the Fermi level at 4.81 states/eV/f.u. For the formation energy from raw total energies, the calculation gives 1325 meV/atom. As for the size of the total moment: 7.0 μB per cell. Its relative energy among the computed polymorphs is 528 meV per atom.

---

## K2YBrN (PBE-GGA)

Data for a relaxed structure of K2YBrN.

The space group is P4/mmm (No. 123) and the conventional cell measures 7.1451, 7.1451 and 4.2107 Å, with angles of 90.00, 90.00 and 90.00 degrees. The asymmetric unit holds K at (0.0000, 0.5000, 0.0000), Y at (0.0000, 0.0000, 0.0000), Br at (0.5000, 0.5000, 0.5000) and N at (0.0000, 0.0000, 0.5000).

The calculation puts the density of states at the Fermi level at 2.56 states/eV/f.u. For the formation energy from raw total energies, the calculation gives -209 meV/atom. As for the size of the total moment: 0.3 μB per cell.

---

## K2Na2Br (PBE-GGA)

Data for a relaxed structure of K2Na2Br.

The space group is P4/mbm (No. 127) and the conventional cell measures 8.6739, 8.6739 and 6.9894 Å, with angles of 90.00, 90.00 and 90.00 degrees. The asymmetric unit holds K at (0.1796, 0.3204, 0.0000), Na at (0.1417, 0.6417, 0.5000) and Br at (0.0000, 0.0000, 0.0000).

The calculation puts the density of states at the Fermi level at 2.81 states/eV/f.u. For the formation energy from raw total energies, the calculation gives -485 meV/atom. As for the size of the total moment: 0.0 μB per cell. Its relative energy among the computed polymorphs is 0 meV per atom.

---

## KNa4Br5 (PBE-GGA)

Data for a relaxed structure of KNa4Br5.

The space group is I4/mmm (No. 139) and the conventional cell measures 4.4010, 4.4010 and 30.7118 Å, with angles of 90.00, 90.00 and 90.00 degrees. The asymmetric unit holds K at (0.0000, 0.0000, 0.0000), Na at (0.0000, 0.0000, 0.2019), Na at (0.0000, 0.0000, 0.3960), Br at (0.0000, 0.0000, 0.1060), Br at (0.0000, 0.0000, 0.2985) and Br at (0.0000, 0.0000, 0.5000).

The calculation puts the density of states at the Fermi level at 0.00 states/eV/f.u. For the formation energy from raw total energies, the calculation gives -1577 meV/atom. As for the size of the total moment: 0.0 μB per cell. Its relative energy among the computed polymorphs is 9 meV per atom.

---

## KNa3Br4 (PBE-GGA)

Data for a relaxed structure of KNa3Br4.

The space group is Cmmm (No. 65) and the conventional cell measures 8.8187, 12.4288 and 4.3729 Å, with angles of 90.00, 90.00 and 90.00 degrees. The asymmetric unit holds K at (0.0000, 0.0000, 0.0000), Na at (0.0000, 0.5000, 0.0000), Na at (0.2500, 0.2500, 0.5000), Br at (0.0000, 0.2586, 0.0000) and Br at (0.2323, 0.5000, 0.5000).

The calculation puts the density of states at the Fermi level at 0.00 states/eV/f.u. For the formation energy from raw total energies, the calculation gives -1591 meV/atom. As for the size of the total moment: 0.0 μB per cell.

---

## KNa2Br2 (PBE-GGA)

Data for a relaxed structure of KNa2Br2.

The space group is I4/mmm (No. 139) and the conventional cell measures 5.5714, 5.5714 and 11.8586 Å, with angles of 90.00, 90.00 and 90.00 degrees. The asymmetric unit holds K at (0.0000, 0.0000, 0.0000), Na at (0.0000, 0.0000, 0.3365) and Br at (0.0000, 0.5000, 0.2500).

The calculation puts the density of states at the Fermi level at 2.81 states/eV/f.u. For the formation energy from raw total energies, the calculation gives -1113 meV/atom. As for the size of the total moment: 1.4 μB per cell. Its relative energy among the computed polymorphs is 0 meV per atom.